[1]
The following is a GGA-PBE calculation of a relaxed structure of LiInMo4, from the Alexandria database.

Cell lengths 5.3102, 5.3102, 5.3102 Å; angles 60.00, 60.00, 60.00 degrees
With the nearest neighbours (Å) after each atom.
Sites, in units of the cell vectors:
Li  0.0000  0.0000  0.0000  12 Mo 3.11, 4 In 3.25
In  0.2500  0.2500  0.2500  12 Mo 3.12, 4 Li 3.25
Mo  0.1208  0.6264  0.6264  6 Mo 2.63-2.68
Mo  0.6264  0.1208  0.6264  6 Mo 2.63-2.68
Mo  0.6264  0.6264  0.1208  6 Mo 2.63-2.68
Mo  0.6264  0.6264  0.6264  6 Mo 2.63-2.68

Properties
**M_tot**: 0.001 μB/f.u.
**Volume**: 17.6 Å³/atom
**Symmetry**: F-43m (216)
**ΔE_f**: 0.464 eV per atom

[2]
The following is a GGA-PBE calculation of a relaxed structure of Cs2AsBrF6, from the Alexandria database.

Cell lengths 6.9939, 6.9939, 6.9939 Å; angles 60.00, 60.00, 60.00 degrees
With the nearest neighbours (Å) after each atom.
Sites, in units of the cell vectors:
Cs  0.2500  0.2500  0.2500  12 F 3.56
Cs  0.7500  0.7500  0.7500  12 F 3.56
As  0.0000  0.0000  0.0000  6 F 1.79
Br  0.5000  0.5000  0.5000  6 F 3.16
F  0.1809  0.1809  0.8191  1 As 1.79
F  0.1809  0.8191  0.1809  1 As 1.79
F  0.1809  0.8191  0.8191  1 As 1.79
F  0.8191  0.1809  0.1809  1 As 1.79
F  0.8191  0.1809  0.8191  1 As 1.79
F  0.8191  0.8191  0.1809  1 As 1.79

Properties
**M_tot**: 0.000 μB/f.u.
**Volume**: 24.2 Å³/atom
**Formation energy without anion corrections**: -2.2367 eV/atom
**Symmetry**: Fm-3m (225)

[3]
The following is a GGA-PBE calculation of a relaxed structure of Ba2SnSe2O2, from the Alexandria database.

Cell lengths 8.7442, 8.7442, 8.7442 Å; angles 150.26, 150.26, 42.56 degrees
With the nearest neighbours (Å) after each atom.
Sites, in units of the cell vectors:
Ba  0.1195  0.1195  0.0000  4 O 2.97, 4 Se 3.25
Ba  0.8805  0.8805  0.0000  4 O 2.97, 4 Se 3.25
Sn  0.5000  0.5000  0.0000  4 O 2.24
Se  0.3364  0.3364  0.0000  1 Sn 2.67
Se  0.6636  0.6636  0.0000  1 Sn 2.67
O  0.0000  0.5000  0.5000  2 Sn 2.24
O  0.5000  0.0000  0.5000  2 Sn 2.24

Properties
**M_tot**: 0.000 μB/f.u.
**Volume**: 23.4 Å³/atom
**Formation energy without anion corrections**: -1.8153 eV/atom
**Symmetry**: I4/mmm (139)

Repeat the third record exactly.
The following is a GGA-PBE calculation of a relaxed structure of Ba2SnSe2O2, from the Alexandria database.

Cell lengths 8.7442, 8.7442, 8.7442 Å; angles 150.26, 150.26, 42.56 degrees
With the nearest neighbours (Å) after each atom.
Sites, in units of the cell vectors:
Ba  0.1195  0.1195  0.0000  4 O 2.97, 4 Se 3.25
Ba  0.8805  0.8805  0.0000  4 O 2.97, 4 Se 3.25
Sn  0.5000  0.5000  0.0000  4 O 2.24
Se  0.3364  0.3364  0.0000  1 Sn 2.67
Se  0.6636  0.6636  0.0000  1 Sn 2.67
O  0.0000  0.5000  0.5000  2 Sn 2.24
O  0.5000  0.0000  0.5000  2 Sn 2.24

Properties
**M_tot**: 0.000 μB/f.u.
**Volume**: 23.4 Å³/atom
**Formation energy without anion corrections**: -1.8153 eV/atom
**Symmetry**: I4/mmm (139)